VASP calculation (PBE) on a relaxed structure of Rh3PbS.

## Properties
Calculated volume, Å³/cell: 125
Spin magnetization, μB/atom: 0.57
Mass density, g/cm³: 7.295
E_form (uncorrected), eV/atom: 1.68
Fermi-level density of states, states/eV per atom: 2.23

Structure (CIF):
```
data_Rh3PbS
_cell_length_a 4.996
_cell_length_b 4.996
_cell_length_c 4.996
_cell_angle_alpha 90.00
_cell_angle_beta 90.00
_cell_angle_gamma 90.00
_space_group_name_H-M_alt 'P 1'
_space_group_IT_number 1
_space_group_name_Hall 'P 1'
loop_
_atom_site_label
_atom_site_type_symbol
_atom_site_fract_x
_atom_site_fract_y
_atom_site_fract_z
Rh1 Rh 0.000 0.000 0.500
Rh2 Rh 0.000 0.500 0.000
Rh3 Rh 0.500 0.000 0.000
Pb1 Pb 0.000 0.000 0.000
S1 S 0.500 0.500 0.500
```